Computed, not measured: an optimized crystal structure of V2InNiO8 at the GGA+U level of DFT.

Calculated values
Raw total energy in eV for the cell shown: -77.13
Volume in A^3/atom: 13.56

Lattice parameters (Å, degrees): 5.714 5.714 5.753 90.00 90.00 120.00
Atoms (fractional coordinates):
O: 0.158 0.317 0.738
O: 0.683 0.842 0.738
O: 0.667 0.333 0.627
O: 0.842 0.683 0.262
O: 0.317 0.158 0.262
O: 0.333 0.667 0.373
O: 0.158 0.842 0.738
O: 0.842 0.158 0.262
V: 0.333 0.667 0.658
V: 0.667 0.333 0.342
Ni: 0.000 0.000 0.500
In: 0.000 0.000 0.000